(1)
ThCuTc | PBE | optimized geometry

abc: 5.1996 5.1996 5.1996
angles: 139.57 139.57 58.50
Atoms (fractional coordinates):
Th 0.0000 0.0000 0.0000
Cu 0.6908 0.6908 0.0000
Tc 0.2964 0.2964 0.0000

Output
DFT formation energy = 0.13 eV per atom
N(E_F) = 2.33 states/eV/f.u.



(2)
BaLaTl3 | PBE | optimized geometry

abc: 6.0950 6.0950 6.0950
angles: 90.00 90.00 90.00
Atoms (fractional coordinates):
Ba 0.0000 0.0000 0.0000
La 0.5000 0.5000 0.5000
Tl 0.0000 0.5000 0.5000
Tl 0.5000 0.0000 0.5000
Tl 0.5000 0.5000 0.0000

Output
DFT formation energy = 0.10 eV per atom
N(E_F) = 6.95 states/eV/f.u.



(3)
Cs2NaTl2S4 | PBE | optimized geometry

abc: 8.5535 8.5535 7.9902
angles: 106.74 106.74 31.45
Atoms (fractional coordinates):
Cs 0.1225 0.1225 0.0389
Cs 0.8775 0.8775 0.9611
Na 0.0000 0.0000 0.5000
Tl 0.3403 0.3403 0.4945
Tl 0.6597 0.6597 0.5055
S 0.2102 0.2102 0.6726
S 0.4807 0.4807 0.7319
S 0.5193 0.5193 0.2681
S 0.7898 0.7898 0.3274

Output
Raw formation energy = -0.6802 eV/atom
N(E_F) = 2.89 states/eV/f.u.



(4)
Zn2CuBiAu | PBE | optimized geometry

abc: 4.6163 4.6163 4.9349
angles: 90.00 90.00 90.00
Atoms (fractional coordinates):
Zn 0.0000 0.5000 0.0000
Zn 0.5000 0.0000 0.0000
Cu 0.0000 0.0000 0.0000
Bi 0.5000 0.5000 0.5000
Au 0.0000 0.0000 0.5000

Output
DFT formation energy = 0.25 eV per atom
N(E_F) = 2.07 states/eV/f.u.



(5)
AgMo4Br2 | PBE | optimized geometry

abc: 7.6671 7.6671 7.6671
angles: 141.47 141.47 55.62
Atoms (fractional coordinates):
Ag 0.0000 0.0000 0.0000
Mo 0.0000 0.5000 0.5000
Mo 0.1944 0.1944 0.0000
Mo 0.5000 0.0000 0.5000
Mo 0.8056 0.8056 0.0000
Br 0.3879 0.3879 0.0000
Br 0.6121 0.6121 0.0000

Output
Raw formation energy = 1.9745 eV/atom
N(E_F) = 5.92 states/eV/f.u.



(6)
TbDyAgOs | PBE | optimized geometry

abc: 4.9589 4.9589 4.9589
angles: 60.00 60.00 60.00
Atoms (fractional coordinates):
Tb 0.0000 0.0000 0.0000
Dy 0.5000 0.5000 0.5000
Ag 0.7500 0.7500 0.7500
Os 0.2500 0.2500 0.2500

Output
DFT formation energy = -0.26 eV per atom
N(E_F) = 2.54 states/eV/f.u.



(7)
LiZnAg2F6 | PBE | optimized geometry

abc: 5.4527 5.7522 9.6508
angles: 90.00 123.83 90.00
Atoms (fractional coordinates):
Li 0.0000 0.0000 0.0000
Li 0.0000 0.5000 0.5000
Zn 0.5000 0.0000 0.5000
Zn 0.5000 0.5000 0.0000
Ag 0.2415 0.0748 0.7616
Ag 0.2415 0.4252 0.2616
Ag 0.7585 0.5748 0.7384
Ag 0.7585 0.9252 0.2384
F 0.1448 0.2067 0.4400
F 0.1448 0.2933 0.9400
F 0.2370 0.7111 0.4328
F 0.2370 0.7889 0.9328
F 0.3784 0.0547 0.2504
F 0.3784 0.4453 0.7504
F 0.6216 0.5547 0.2496
F 0.6216 0.9453 0.7496
F 0.7630 0.2111 0.0672
F 0.7630 0.2889 0.5672
F 0.8552 0.7067 0.0600
F 0.8552 0.7933 0.5600

Output
Raw formation energy = -1.7924 eV/atom
N(E_F) = 3.51 states/eV/f.u.



(8)
Nd4InNi | PBE | optimized geometry

abc: 9.2214 9.2214 6.1613
angles: 109.48 109.48 46.00
Atoms (fractional coordinates):
Nd 0.1284 0.6323 0.3809
Nd 0.2317 0.7683 0.0000
Nd 0.3106 0.3106 0.8116
Nd 0.3677 0.8716 0.6191
Nd 0.6323 0.1284 0.3809
Nd 0.6894 0.6894 0.1884
Nd 0.7683 0.2317 0.0000
Nd 0.8716 0.3677 0.6191
In 0.1945 0.1945 0.1944
In 0.8055 0.8055 0.8056
Ni 0.4994 0.4994 0.3011
Ni 0.5006 0.5006 0.6989

Output
DFT formation energy = -0.25 eV per atom
N(E_F) = 7.34 states/eV/f.u.



(9)
CaSi2RuRh | PBE | optimized geometry

abc: 5.7324 5.7324 5.7324
angles: 137.47 137.47 61.71
Atoms (fractional coordinates):
Ca 0.0000 0.0000 0.0000
Si 0.3691 0.3691 0.0000
Si 0.6309 0.6309 0.0000
Ru 0.2500 0.7500 0.5000
Rh 0.7500 0.2500 0.5000

Output
Raw formation energy = -0.8740 eV/atom
N(E_F) = 2.31 states/eV/f.u.



(10)
SrGdCuGe | PBE | optimized geometry

abc: 5.1938 5.1938 5.1938
angles: 60.00 60.00 60.00
Atoms (fractional coordinates):
Sr 0.0000 0.0000 0.0000
Gd 0.5000 0.5000 0.5000
Cu 0.2500 0.2500 0.2500
Ge 0.7500 0.7500 0.7500

Output
DFT formation energy = -0.36 eV per atom
N(E_F) = 2.87 states/eV/f.u.



(11)
Pm3Nd2HoTm6 | PBE | optimized geometry

abc: 6.1833 6.1833 11.7072
angles: 95.03 95.03 119.98
Atoms (fractional coordinates):
Pm 0.0000 0.0000 0.0000
Pm 0.3332 0.6668 0.0000
Pm 0.6668 0.3332 0.0000
Nd 0.1664 0.8336 0.5000
Nd 0.8336 0.1664 0.5000
Ho 0.5000 0.5000 0.5000
Tm 0.0837 0.4167 0.2504
Tm 0.2506 0.2506 0.7499
Tm 0.4167 0.0837 0.2504
Tm 0.5833 0.9163 0.7496
Tm 0.7494 0.7494 0.2501
Tm 0.9163 0.5833 0.7496

Output
DFT formation energy = 0.02 eV per atom
N(E_F) = 13.43 states/eV/f.u.



(12)
AcLaGe2Pt2 | PBE | optimized geometry

abc: 4.3788 4.3788 8.6959
angles: 90.00 90.00 120.00
Atoms (fractional coordinates):
Ac 0.0000 0.0000 0.0000
La 0.0000 0.0000 0.5000
Ge 0.3333 0.6667 0.7385
Ge 0.6667 0.3333 0.2615
Pt 0.3333 0.6667 0.2555
Pt 0.6667 0.3333 0.7445

Output
DFT formation energy = -1.07 eV per atom
N(E_F) = 5.67 states/eV/f.u.



(13)
K3Mg2AgF9 | PBE | optimized geometry

abc: 5.8861 5.8861 7.2684
angles: 90.00 90.00 120.00
Atoms (fractional coordinates):
K 0.0000 0.0000 0.0000
K 0.3333 0.6667 0.6603
K 0.6667 0.3333 0.3397
Mg 0.3333 0.6667 0.1509
Mg 0.6667 0.3333 0.8491
Ag 0.0000 0.0000 0.5000
F 0.0000 0.5000 0.0000
F 0.1761 0.3522 0.3183
F 0.1761 0.8239 0.3183
F 0.3522 0.1761 0.6817
F 0.5000 0.0000 0.0000
F 0.5000 0.5000 0.0000
F 0.6478 0.8239 0.3183
F 0.8239 0.1761 0.6817
F 0.8239 0.6478 0.6817

Output
Raw formation energy = -2.7786 eV/atom
N(E_F) = 4.81 states/eV/f.u.